<i>
DFT (PBE) results for a relaxed YP2PdO crystal.

Summary:
symmetry: P4/mmm, No. 123

abc: 5.373 5.373 4.110
angles: 90.00 90.00 90.00
Each line ends with the local moment (μB).
Element x y z (fractional)
Y: 0.000 0.000 0.000  0.01
P: 0.000 0.500 0.000  0.09
P: 0.500 0.000 0.000  0.09
O: 0.000 0.000 0.500  0.18
Pd: 0.500 0.500 0.500  -0.01



<ii>
DFT (PBE) results for a relaxed YP2PdO crystal.

Summary:
symmetry: P4/mmm, No. 123

abc: 4.704 4.704 4.061
angles: 90.00 90.00 90.00
Element x y z (fractional)
Y: 0.500 0.500 0.500
P: 0.000 0.500 0.000
P: 0.500 0.000 0.000
O: 0.000 0.000 0.500
Pd: 0.000 0.000 0.000



The computed energies, referenced to the most stable structure and given in meV per atom, are <i> 540; <ii> 0.



<i>
DFT (PBE) results for a relaxed YPPdO2 crystal.

Summary:
symmetry: P4/mmm, No. 123

abc: 4.174 4.174 5.965
angles: 90.00 90.00 90.00
Each line ends with the local moment (μB).
Element x y z (fractional)
Y: 0.000 0.000 0.000  0.01
P: 0.000 0.000 0.500  0.29
O: 0.000 0.500 0.000  0.52
O: 0.500 0.000 0.000  0.52
Pd: 0.500 0.500 0.500  0.29



<ii>
DFT (PBE) results for a relaxed YPPdO2 crystal.

Summary:
symmetry: P4/mmm, No. 123

abc: 4.086 4.086 4.614
angles: 90.00 90.00 90.00
Element x y z (fractional)
Y: 0.500 0.500 0.500
P: 0.000 0.000 0.500
O: 0.000 0.500 0.000
O: 0.500 0.000 0.000
Pd: 0.000 0.000 0.000



The computed energies, referenced to the most stable structure and given in meV per atom, are <i> 248; <ii> 0.



<i>
DFT (PBE) results for a relaxed ZnPPdO2 crystal.

Summary:
symmetry: P4/mmm, No. 123

abc: 3.626 3.626 6.116
angles: 90.00 90.00 90.00
Each line ends with the local moment (μB).
Element x y z (fractional)
P: 0.000 0.000 0.500  0.10
Zn: 0.000 0.000 0.000  -0.01
O: 0.000 0.500 0.000  0.45
O: 0.500 0.000 0.000  0.45
Pd: 0.500 0.500 0.500  0.01



<ii>
DFT (PBE) results for a relaxed ZnPPdO2 crystal.

Summary:
symmetry: P4/mmm, No. 123

abc: 3.861 3.861 5.112
angles: 90.00 90.00 90.00
Each line ends with the local moment (μB).
Element x y z (fractional)
P: 0.000 0.000 0.500  0.09
Zn: 0.500 0.500 0.500  -0.01
O: 0.000 0.500 0.000  0.38
O: 0.500 0.000 0.000  0.38
Pd: 0.000 0.000 0.000  0.46



The computed energies, referenced to the most stable structure and given in meV per atom, are <i> 15; <ii> 0.



<i>
DFT (PBE) results for a relaxed Pm2PO crystal.

Summary:
symmetry: C2/c, No. 15

abc: 6.605 6.630 8.692
angles: 105.01 104.90 108.80
Element x y z (fractional)
Pm: 0.217 0.444 0.376
Pm: 0.550 0.324 0.127
Pm: 0.077 0.802 0.127
Pm: 0.341 0.068 0.624
Pm: 0.659 0.932 0.376
Pm: 0.923 0.198 0.873
Pm: 0.450 0.676 0.873
Pm: 0.783 0.556 0.624
P: 0.184 0.934 0.868
P: 0.941 0.691 0.382
P: 0.059 0.309 0.618
P: 0.816 0.066 0.132
O: 0.569 0.819 0.638
O: 0.692 0.442 0.884
O: 0.308 0.558 0.116
O: 0.431 0.181 0.362



<ii>
DFT (PBE) results for a relaxed Pm2PO crystal.

Summary:
symmetry: R3m, No. 160

abc: 3.760 3.760 7.047
angles: 74.53 74.53 60.00
Element x y z (fractional)
Pm: 0.088 0.088 0.737
Pm: 0.248 0.248 0.255
P: 0.668 0.668 0.996
O: 0.496 0.496 0.512



The computed energies, referenced to the most stable structure and given in meV per atom, are <i> 0; <ii> 180.



<i>
DFT (PBE) results for a relaxed Pm2PO crystal.

Summary:
symmetry: R-3m, No. 166

abc: 3.863 3.863 6.595
angles: 72.97 72.97 60.00
Element x y z (fractional)
P: 0.000 0.000 0.000
O: 0.500 0.500 0.500
Pm: 0.242 0.242 0.275
Pm: 0.758 0.758 0.725



<ii>
DFT (PBE) results for a relaxed Pm2PO crystal.

Summary:
symmetry: Fm-3m, No. 225

abc: 4.758 4.758 4.758
angles: 60.00 60.00 60.00
Element x y z (fractional)
P: 0.000 0.000 0.000
O: 0.500 0.500 0.500
Pm: 0.250 0.250 0.250
Pm: 0.750 0.750 0.750



The computed energies, referenced to the most stable structure and given in meV per atom, are <i> 0; <ii> 562.



<i>
DFT (PBE) results for a relaxed P2PtO2 crystal.

Summary:
symmetry: P4/mmm, No. 123

abc: 3.675 3.675 6.680
angles: 90.00 90.00 90.00
Element x y z (fractional)
P: 0.500 0.500 0.500
P: 0.000 0.000 0.500
O: 0.000 0.500 0.000
O: 0.500 0.000 0.000
Pt: 0.000 0.000 0.000



<ii>
DFT (PBE) results for a relaxed P2PtO2 crystal.

Summary:
symmetry: P4/mmm, No. 123

abc: 3.351 3.351 6.058
angles: 90.00 90.00 90.00
Element x y z (fractional)
P: 0.000 0.000 0.000
P: 0.000 0.000 0.500
O: 0.000 0.500 0.000
O: 0.500 0.000 0.000
Pt: 0.500 0.500 0.500



The computed energies, referenced to the most stable structure and given in meV per atom, are <i> 782; <ii> 0.



<i>
DFT (PBE) results for a relaxed ReP2PtO crystal.

Summary:
symmetry: P4/mmm, No. 123

abc: 4.723 4.723 3.666
angles: 90.00 90.00 90.00
Element x y z (fractional)
Re: 0.000 0.000 0.000
O: 0.000 0.000 0.500
Pt: 0.500 0.500 0.500
P: 0.000 0.500 0.000
P: 0.500 0.000 0.000



<ii>
DFT (PBE) results for a relaxed ReP2PtO crystal.

Summary:
symmetry: P4/mmm, No. 123

abc: 4.745 4.745 3.732
angles: 90.00 90.00 90.00
Each line ends with the local moment (μB).
Element x y z (fractional)
Re: 0.500 0.500 0.500  2.53
O: 0.000 0.000 0.500  -0.28
Pt: 0.000 0.000 0.000  -0.30
P: 0.000 0.500 0.000  -0.13
P: 0.500 0.000 0.000  -0.13



The computed energies, referenced to the most stable structure and given in meV per atom, are <i> 0; <ii> 946.



<i>
DFT (PBE) results for a relaxed RePPtO2 crystal.

Summary:
symmetry: P4/mmm, No. 123

abc: 3.652 3.652 7.762
angles: 90.00 90.00 90.00
Each line ends with the local moment (μB).
Element x y z (fractional)
Re: 0.500 0.500 0.500  2.32
O: 0.000 0.500 0.000  -0.04
O: 0.500 0.000 0.000  -0.04
Pt: 0.000 0.000 0.000  -0.07
P: 0.000 0.000 0.500  -0.06



<ii>
DFT (PBE) results for a relaxed RePPtO2 crystal.

Summary:
symmetry: P4/mmm, No. 123

abc: 3.690 3.690 5.396
angles: 90.00 90.00 90.00
Element x y z (fractional)
Re: 0.000 0.000 0.000
O: 0.000 0.500 0.000
O: 0.500 0.000 0.000
Pt: 0.500 0.500 0.500
P: 0.000 0.000 0.500



The computed energies, referenced to the most stable structure and given in meV per atom, are <i> 1276; <ii> 0.